Record 1
Below is a crystal of InSi2Ir relaxed with PBEsol, with properties calculated at the SCAN level.

Cell: 4.107 4.107 3.756 Å, 90.00 90.00 90.00°
Fractional positions:
In (0.000, 0.000, 0.000)
Si (0.000, 0.500, 0.500)
Si (0.500, 0.000, 0.500)
Ir (0.500, 0.500, 0.000)

Results
As for the total magnetization: 0.00 μB/f.u. The value obtained for the uncorrected formation energy is 462 meV per atom.

Record 2
Below is a crystal of SmIn2Ir relaxed with PBEsol, with properties calculated at the SCAN level.

Cell: 5.524 5.524 7.914 Å, 90.00 90.00 134.01°
Fractional positions:
Sm (0.071, 0.929, 0.750)
Sm (0.929, 0.071, 0.250)
In (0.357, 0.643, 0.551)
In (0.357, 0.643, 0.949)
In (0.643, 0.357, 0.051)
In (0.643, 0.357, 0.449)
Ir (0.219, 0.781, 0.250)
Ir (0.781, 0.219, 0.750)

Results
As for the total magnetization: 0.00 μB/f.u. The formation energy comes out at -0.6935 eV/atom.

Record 3
Below is a crystal of SmInIr relaxed with PBEsol, with properties calculated at the SCAN level.

Cell: 7.451 7.451 3.986 Å, 90.00 90.00 120.00°
Fractional positions:
Sm (0.000, 0.409, 0.000)
Sm (0.409, 0.000, 0.000)
Sm (0.591, 0.591, 0.000)
In (0.000, 0.747, 0.500)
In (0.253, 0.253, 0.500)
In (0.747, 0.000, 0.500)
Ir (0.000, 0.000, 0.000)
Ir (0.333, 0.667, 0.500)
Ir (0.667, 0.333, 0.500)

Results
As for the total magnetization: 0.00 μB/f.u. The formation energy comes out at -0.8228 eV/atom.

Record 4
Below is a crystal of SrIn8Ir2 relaxed with PBEsol, with properties calculated at the SCAN level.

Cell: 13.840 16.155 4.365 Å, 90.00 90.00 90.00°
Fractional positions:
Sr (0.157, 0.181, 0.000)
Sr (0.343, 0.681, 0.000)
Sr (0.657, 0.319, 0.000)
Sr (0.843, 0.819, 0.000)
In (0.000, 0.000, 0.000)
In (0.000, 0.500, 0.500)
In (0.020, 0.867, 0.500)
In (0.051, 0.316, 0.500)
In (0.101, 0.748, 0.000)
In (0.159, 0.456, 0.000)
In (0.167, 0.623, 0.500)
In (0.170, 0.012, 0.500)
In (0.241, 0.823, 0.500)
In (0.259, 0.323, 0.500)
In (0.330, 0.512, 0.500)
In (0.333, 0.123, 0.500)
In (0.341, 0.956, 0.000)
In (0.399, 0.248, 0.000)
In (0.449, 0.816, 0.500)
In (0.480, 0.367, 0.500)
In (0.500, 0.000, 0.500)
In (0.500, 0.500, 0.000)
In (0.520, 0.633, 0.500)
In (0.551, 0.184, 0.500)
In (0.601, 0.752, 0.000)
In (0.659, 0.044, 0.000)
In (0.667, 0.877, 0.500)
In (0.670, 0.488, 0.500)
In (0.741, 0.677, 0.500)
In (0.759, 0.177, 0.500)
In (0.830, 0.988, 0.500)
In (0.833, 0.377, 0.500)
In (0.841, 0.544, 0.000)
In (0.899, 0.252, 0.000)
In (0.949, 0.684, 0.500)
In (0.980, 0.133, 0.500)
Ir (0.035, 0.597, 0.000)
Ir (0.155, 0.904, 0.000)
Ir (0.345, 0.404, 0.000)
Ir (0.465, 0.097, 0.000)
Ir (0.535, 0.903, 0.000)
Ir (0.655, 0.596, 0.000)
Ir (0.845, 0.096, 0.000)
Ir (0.965, 0.403, 0.000)

Results
As for the total magnetization: 0.00 μB/f.u. The formation energy comes out at -0.3611 eV/atom.

Record 5
Below is a crystal of SrIn2Ir2 relaxed with PBEsol, with properties calculated at the SCAN level.

Cell: 6.346 6.346 6.346 Å, 138.78 138.78 59.72°
Fractional positions:
Sr (0.000, 0.000, 0.000)
In (0.250, 0.750, 0.500)
In (0.750, 0.250, 0.500)
Ir (0.390, 0.390, 0.000)
Ir (0.610, 0.610, 0.000)

Results
As for the total magnetization: 0.00 μB/f.u. The formation energy comes out at -0.4416 eV/atom.

Record 6
Below is a crystal of Sr2InIr relaxed with PBEsol, with properties calculated at the SCAN level.

Cell: 5.115 5.115 5.115 Å, 60.00 60.00 60.00°
Fractional positions:
Sr (0.000, 0.000, 0.000)
Sr (0.250, 0.250, 0.250)
In (0.750, 0.750, 0.750)
Ir (0.500, 0.500, 0.500)

Results
As for the total magnetization: 0.00 μB/f.u. The formation energy comes out at -0.0480 eV/atom.

Record 7
Below is a crystal of Sr2InIr relaxed with PBEsol, with properties calculated at the SCAN level.

Cell: 4.991 4.991 4.134 Å, 90.00 90.00 90.14°
Fractional positions:
Sr (0.000, 0.500, 0.000)
Sr (0.500, 0.000, 0.000)
In (0.000, 0.000, 0.500)
Ir (0.500, 0.500, 0.500)

Results
As for the total magnetization: 0.00 μB/f.u. The formation energy comes out at -0.1090 eV/atom.

Record 8
Below is a crystal of SrInIr2 relaxed with PBEsol, with properties calculated at the SCAN level.

Cell: 3.290 3.290 7.110 Å, 90.00 90.00 90.00°
Fractional positions:
Sr (0.000, 0.000, 0.000)
In (0.000, 0.000, 0.500)
Ir (0.500, 0.500, 0.293)
Ir (0.500, 0.500, 0.707)

Results
As for the total magnetization: 0.00 μB/f.u. The formation energy comes out at 0.0838 eV/atom.

| no. | volume (Å³/cell) |
| --- | --- |
| 1 | 63.4 |
| 2 | 173.7 |
| 3 | 191.7 |
| 4 | 976.0 |
| 5 | 109.9 |
| 6 | 94.6 |
| 7 | 103.0 |
| 8 | 77.0 |